! CdFeBi2 GGA-PBE relaxed; values from VASP
&SYSTEM
  ibrav = 0, nat = 4, ntyp = 3
/
ATOMIC_SPECIES
Bi 208.98 Bi.upf
Fe 55.84 Fe.upf
Cd 112.41 Cd.upf
ATOMIC_POSITIONS angstrom
Bi 1.639 0.947 8.844
Bi 4.918 2.840 2.749
Fe 0.000 0.000 0.000
Cd 3.279 1.893 5.797
CELL_PARAMETERS angstrom
3.279 0.000 0.000
1.639 2.840 0.000
1.639 0.947 11.593
! - Symmetry: R-3m (166)
! - Magnetization: 3.288 μB/cell
! - Total energy: -3.670 eV/atom
! - Formation energy: 2.458 eV per formula unit

***

! CdFe2Bi GGA-PBE relaxed; values from VASP
&SYSTEM
  ibrav = 0, nat = 4, ntyp = 3
/
ATOMIC_SPECIES
Fe 55.84 Fe.upf
Bi 208.98 Bi.upf
Cd 112.41 Cd.upf
ATOMIC_POSITIONS angstrom
Fe -3.562 -5.284 -5.270
Fe -1.187 -1.761 -1.757
Bi -2.374 -3.523 -3.513
Cd 0.000 0.000 0.000
CELL_PARAMETERS angstrom
0.762 -3.155 -3.119
-2.771 -3.529 -0.355
-2.740 -0.361 -3.553
! - E above lowest polymorph: 0.0 meV per atom
! - Symmetry: Fm-3m (225)
! - Magnetization: 0.000 μB/cell
! - Total energy: -4.709 eV/atom
! - Formation energy: 2.886 eV per formula unit